Entry 1:
A relaxed TbPm2Er5Tm crystal, computed with PBE-GGA.

```
TbPm2Er5Tm
1.0
-4.2944 4.2944 7.7444
4.2944 -4.2944 7.7444
4.2944 4.2944 -7.7444
Tb Pm Er Tm
2 4 10 2
Cartesian
0.0000 0.0000 3.8722
0.0000 0.0000 11.6166
5.2996 1.0051 0.0000
1.0051 3.2893 0.0000
3.2893 1.0051 7.7444
-1.0051 3.2893 7.7444
0.0000 0.0000 0.0000
2.4727 1.8218 -2.1630
2.4727 -1.8218 5.5814
2.4727 1.8218 2.1630
2.4727 -1.8218 9.9074
0.0000 0.0000 7.7444
1.8218 6.1162 -2.1630
1.8218 2.4727 5.5814
1.8218 6.1162 2.1630
1.8218 2.4727 9.9074
4.2944 0.0000 3.8722
0.0000 4.2944 3.8722
```

Properties
calculated volume	31.74	Å³/atom
ΔH_f (0 K)	279	meV/atom
SG	I4/mcm (140)
size of the total moment	0.00	μB per cell

Entry 2:
A relaxed Li2CeUCl8 crystal, computed with PBE-GGA.

```
Li2CeUCl8
1.0
6.3118 0.0000 0.0000
0.0000 8.3298 0.0000
-0.2633 0.0000 6.3675
Li Ce U Cl
2 1 1 8
Cartesian
0.0000 2.0254 0.0000
0.0000 6.3044 0.0000
3.0243 0.0000 3.1837
3.0243 4.1649 3.1837
1.1896 0.0000 1.1517
1.2130 4.1649 1.1836
1.6403 2.1206 4.4201
1.6403 6.2091 4.4201
4.4082 2.1206 1.9473
4.4082 6.2091 1.9473
4.8355 4.1649 5.1839
4.8589 0.0000 5.2157
```

Properties
calculated volume	27.90	Å³/atom
E_form (uncorrected)	-1.86	eV/atom
SG	P2/m (10)
size of the total moment	4.00	μB per cell